# 1
{
  "formula": "BeNb2Al",
  "functional": "PBE-GGA",
  "state": "optimized geometry",
  "cell": [[0.000, 3.153, 3.153], [3.153, 0.000, 3.153], [3.153, 3.153, 0.000]],
  "species": ["Al", "Be", "Nb", "Nb"],
  "frac_coords": [[0.500, 0.500, 0.500], [0.250, 0.250, 0.250], [0.000, 0.000, 0.000], [0.750, 0.750, 0.750]],
  "sg": "F-43m (216)",
  "final_energy_ev_per_atom": -6.716
}

# 2
{
  "formula": "Li2Mg2TlGePd2",
  "functional": "PBE-GGA",
  "state": "optimized geometry",
  "cell": [[4.526, 0.000, 0.000], [0.000, 4.526, 0.000], [0.000, 0.000, 6.480]],
  "species": ["Ge", "Li", "Li", "Mg", "Mg", "Pd", "Pd", "Tl"],
  "frac_coords": [[0.000, 0.000, 0.000], [0.500, 0.000, 0.232], [0.000, 0.500, 0.768], [0.500, 0.500, 0.000], [0.000, 0.000, 0.500], [0.000, 0.500, 0.223], [0.500, 0.000, 0.777], [0.500, 0.500, 0.500]],
  "sg": "P-4m2 (115)",
  "final_energy_ev_per_atom": -3.500
}

# 3
{
  "formula": "TbAl2Ga2Ni",
  "functional": "PBE-GGA",
  "state": "optimized geometry",
  "cell": [[2.032, -7.664, 0.000], [2.032, 7.664, 0.000], [0.000, 0.000, 6.646]],
  "species": ["Al", "Al", "Al", "Al", "Ga", "Ga", "Ga", "Ga", "Ni", "Ni", "Tb", "Tb"],
  "frac_coords": [[0.689, 0.311, 0.053], [0.689, 0.311, 0.447], [0.311, 0.689, 0.553], [0.311, 0.689, 0.947], [0.500, 0.500, 0.000], [0.073, 0.927, 0.250], [0.500, 0.500, 0.500], [0.927, 0.073, 0.750], [0.226, 0.774, 0.250], [0.774, 0.226, 0.750], [0.884, 0.116, 0.250], [0.116, 0.884, 0.750]],
  "sg": "Cmcm (63)",
  "final_energy_ev_per_atom": -4.540
}

# 4
{
  "formula": "HoLu2Cu4Si2Ge2",
  "functional": "PBE-GGA",
  "state": "optimized geometry",
  "cell": [[6.505, -3.688, 2.375], [-0.376, -5.814, 5.254], [-1.928, 2.903, -7.029]],
  "species": ["Cu", "Cu", "Cu", "Cu", "Ge", "Ge", "Ho", "Lu", "Lu", "Si", "Si"],
  "frac_coords": [[0.644, 0.336, 0.308], [0.973, 0.664, 0.308], [0.027, 0.336, 0.692], [0.356, 0.664, 0.692], [0.218, 0.218, 0.000], [0.782, 0.782, 0.000], [0.000, 0.000, 0.000], [0.628, 0.128, 0.500], [0.372, 0.872, 0.500], [0.683, 0.500, 0.183], [0.317, 0.500, 0.817]],
  "sg": "Immm (71)",
  "final_energy_ev_per_atom": -5.038
}

# 5
{
  "formula": "NaGdCdTe3",
  "functional": "PBE-GGA",
  "state": "optimized geometry",
  "cell": [[7.446, -2.198, 0.000], [7.446, 2.198, 0.000], [0.000, 0.000, 11.742]],
  "species": ["Cd", "Cd", "Gd", "Gd", "Na", "Na", "Te", "Te", "Te", "Te", "Te", "Te"],
  "frac_coords": [[0.470, 0.470, 0.250], [0.530, 0.530, 0.750], [0.000, 0.000, 0.000], [0.000, 0.000, 0.500], [0.768, 0.768, 0.250], [0.232, 0.232, 0.750], [0.358, 0.358, 0.058], [0.092, 0.092, 0.250], [0.358, 0.358, 0.442], [0.642, 0.642, 0.558], [0.908, 0.908, 0.750], [0.642, 0.642, 0.942]],
  "sg": "Cmcm (63)",
  "final_energy_ev_per_atom": -3.685
}

# 6
{
  "formula": "Hf2TcIr",
  "functional": "PBE-GGA",
  "state": "optimized geometry",
  "cell": [[6.874, 0.000, 0.000], [0.000, 8.221, 0.000], [0.000, 0.000, 5.073]],
  "species": ["Hf", "Hf", "Hf", "Hf", "Hf", "Hf", "Hf", "Hf", "Ir", "Ir", "Ir", "Ir", "Tc", "Tc", "Tc", "Tc"],
  "frac_coords": [[0.597, 0.556, 0.250], [0.597, 0.944, 0.250], [0.097, 0.056, 0.250], [0.097, 0.444, 0.250], [0.903, 0.556, 0.750], [0.903, 0.944, 0.750], [0.403, 0.056, 0.750], [0.403, 0.444, 0.750], [0.901, 0.750, 0.249], [0.401, 0.250, 0.251], [0.599, 0.750, 0.749], [0.099, 0.250, 0.751], [0.750, 0.250, 0.001], [0.250, 0.750, 0.499], [0.750, 0.250, 0.501], [0.250, 0.750, 0.999]],
  "sg": "Pnma (62)",
  "delta_e_f_ev_per_atom": -0.599,
  "final_energy_ev_per_atom": -10.381
}

Which formula does entry 5 have? NaGdCdTe3